No. 1
Below is TmFeSi4Ni2 after structural relaxation, with properties calculated at the PBE level.

POSCAR file:
```
TmFeSi4Ni2
1.0
-0.229 3.790 0.900
-2.788 1.266 2.418
4.051 0.454 7.580
Si Tm Fe Ni
4 1 1 2
Cartesian
2.075 0.935 5.050
-1.041 4.575 5.848
1.973 2.401 7.313
-0.939 3.110 3.585
0.000 0.000 0.000
0.517 2.755 5.449
0.486 4.203 7.804
0.547 1.307 3.094
```

No. 2
Below is GeAs2PSe after structural relaxation, with properties calculated at the PBE level.

POSCAR file:
```
GeAs2PSe
1.0
-4.726 -0.396 -1.374
1.299 -3.173 -3.554
-0.587 -3.692 3.082
As Se Ge P
2 1 1 1
Cartesian
0.649 -1.586 -1.777
-2.363 -0.198 -0.687
-0.294 -1.846 1.541
0.000 0.000 0.000
-2.007 -3.630 -0.923
```

Properties
- E above lowest polymorph (meV per atom) = 383

Calculated VASP energy in order - -6.294, -3.536 eV/atom
Calculated formation energy from raw total energies in order - -0.52, 1.03 eV per atom